VASP calculation (GGA-PBE) on a relaxed YH3Br crystal.

abc: 4.0375 4.0375 4.0375
angles: 90.00 90.00 90.00
Sites, in units of the cell vectors:
Y (0.0000, 0.0000, 0.0000)
H (0.0000, 0.5000, 0.5000)
H (0.5000, 0.0000, 0.5000)
H (0.5000, 0.5000, 0.0000)
Br (0.5000, 0.5000, 0.5000)

Results
DOS at the Fermi energy	1.154	states/eV per cell
relative energy among the computed polymorphs	0.902	eV/atom